# 1
# TcGeAs2 (PBE, relaxed)
# Calculated total energy = -5.5231 eV/atom
# Formation enthalpy at 0 K = 211 kJ/mol of formula units
# Total magnetization = 0.00 μB/atom
# Volume = 72.4 Å³/f.u.
data_TcGeAs2
_chemical_formula_sum 'Tc3 Ge3 As6'
_symmetry_space_group_name_H-M 'R -3 m'
_symmetry_Int_Tables_number 166
_symmetry_space_group_name_Hall '-R 3 2"'
_cell_length_a 2.8270
_cell_length_b 2.8270
_cell_length_c 31.3640
_cell_angle_alpha 90.00
_cell_angle_beta 90.00
_cell_angle_gamma 120.00
loop_
_atom_site_label
_atom_site_type_symbol
_atom_site_fract_x
_atom_site_fract_y
_atom_site_fract_z
Tc1 Tc 0.0000 0.0000 0.0000
Ge1 Ge 0.0000 0.0000 0.5000
As1 As 0.0000 0.0000 0.0811

# 2
# TcGeAs (PBE, relaxed)
# Calculated total energy = -6.7410 eV/atom
# Formation enthalpy at 0 K = -57 kJ/mol of formula units
# Total magnetization = 0.00 μB/atom
# Excess energy over the best structure of this formula in the dataset = 0.054 eV per atom
# Volume = 50.7 Å³/f.u.
data_TcGeAs
_chemical_formula_sum 'Tc4 Ge4 As4'
_symmetry_space_group_name_H-M 'C 1 m 1'
_symmetry_Int_Tables_number 8
_symmetry_space_group_name_Hall 'C -2y'
_cell_length_a 8.8138
_cell_length_b 3.3063
_cell_length_c 7.3664
_cell_angle_alpha 90.00
_cell_angle_beta 109.01
_cell_angle_gamma 90.00
loop_
_atom_site_label
_atom_site_type_symbol
_atom_site_fract_x
_atom_site_fract_y
_atom_site_fract_z
Tc1 Tc 0.0000 0.0000 0.0000
Tc2 Tc 0.2188 0.5000 0.5827
Ge1 Ge 0.2045 0.5000 0.9412
Ge2 Ge 0.2386 0.0000 0.3279
As1 As 0.0213 0.0000 0.6564
As2 As 0.4890 0.0000 0.2516

# 3
# Tc2GeAs2 (PBE, relaxed)
# Calculated total energy = -6.8559 eV/atom
# Formation enthalpy at 0 K = 36 kJ/mol of formula units
# Total magnetization = 0.00 μB/atom
# Excess energy over the best structure of this formula in the dataset = 0.000 eV per atom
# Volume = 80.1 Å³/f.u.
data_Tc2GeAs2
_chemical_formula_sum 'Tc4 Ge2 As4'
_symmetry_space_group_name_H-M 'P 4/m b m'
_symmetry_Int_Tables_number 127
_symmetry_space_group_name_Hall '-P 4 2ab'
_cell_length_a 7.2481
_cell_length_b 7.2481
_cell_length_c 3.0485
_cell_angle_alpha 90.00
_cell_angle_beta 90.00
_cell_angle_gamma 90.00
loop_
_atom_site_label
_atom_site_type_symbol
_atom_site_fract_x
_atom_site_fract_y
_atom_site_fract_z
Tc1 Tc 0.1495 0.3505 0.0000
Ge1 Ge 0.0000 0.0000 0.0000
As1 As 0.1424 0.6424 0.5000

# 4
# TcGeAs (PBE, relaxed)
# Calculated total energy = -6.7274 eV/atom
# Formation enthalpy at 0 K = -53 kJ/mol of formula units
# Total magnetization = 0.00 μB/atom
# Excess energy over the best structure of this formula in the dataset = 0.068 eV per atom
# Volume = 49.3 Å³/f.u.
data_TcGeAs
_chemical_formula_sum 'Tc4 Ge4 As4'
_symmetry_space_group_name_H-M 'I m m m'
_symmetry_Int_Tables_number 71
_symmetry_space_group_name_Hall '-I 2 2'
_cell_length_a 3.1953
_cell_length_b 5.0369
_cell_length_c 12.2572
_cell_angle_alpha 90.00
_cell_angle_beta 90.00
_cell_angle_gamma 90.00
loop_
_atom_site_label
_atom_site_type_symbol
_atom_site_fract_x
_atom_site_fract_y
_atom_site_fract_z
Tc1 Tc 0.0000 0.0000 0.1277
Ge1 Ge 0.0000 0.2390 0.5000
As1 As 0.0000 0.5000 0.2087

# 5
# Tc2GeAs (PBE, relaxed)
# Calculated total energy = -7.5829 eV/atom
# Formation enthalpy at 0 K = -32 kJ/mol of formula units
# Total magnetization = 0.00 μB/atom
# Excess energy over the best structure of this formula in the dataset = 0.000 eV per atom
# Volume = 57.8 Å³/f.u.
data_Tc2GeAs
_chemical_formula_sum 'Tc2 Ge1 As1'
_symmetry_space_group_name_H-M 'P 4/m m m'
_symmetry_Int_Tables_number 123
_symmetry_space_group_name_Hall '-P 4 2'
_cell_length_a 3.0673
_cell_length_b 3.0673
_cell_length_c 6.1454
_cell_angle_alpha 90.00
_cell_angle_beta 90.00
_cell_angle_gamma 90.00
loop_
_atom_site_label
_atom_site_type_symbol
_atom_site_fract_x
_atom_site_fract_y
_atom_site_fract_z
Tc1 Tc 0.0000 0.0000 0.2484
Ge1 Ge 0.5000 0.5000 0.5000
As1 As 0.5000 0.5000 0.0000

# 6
# TcGeAs (PBE, relaxed)
# Calculated total energy = -6.4905 eV/atom
# Formation enthalpy at 0 K = 16 kJ/mol of formula units
# Total magnetization = 0.00 μB/atom
# Excess energy over the best structure of this formula in the dataset = 0.305 eV per atom
# Volume = 50.7 Å³/f.u.
data_TcGeAs
_chemical_formula_sum 'Tc2 Ge2 As2'
_symmetry_space_group_name_H-M 'C 1 m 1'
_symmetry_Int_Tables_number 8
_symmetry_space_group_name_Hall 'C -2y'
_cell_length_a 8.1775
_cell_length_b 3.2859
_cell_length_c 4.4604
_cell_angle_alpha 90.00
_cell_angle_beta 122.14
_cell_angle_gamma 90.00
loop_
_atom_site_label
_atom_site_type_symbol
_atom_site_fract_x
_atom_site_fract_y
_atom_site_fract_z
Tc1 Tc 0.0000 0.0000 0.0000
Ge1 Ge 0.2956 0.5000 0.2979
As1 As 0.2183 0.0000 0.7157